Record 1
AlGa3Ag | PBE | relaxed

a = 4.9832 Å, b = 4.9832 Å, c = 4.9832 Å
α = 90.00°, β = 90.00°, γ = 90.00°
Element x y z (fractional)
Al: 0.0000 0.0000 0.0000
Ga: 0.0000 0.5000 0.5000
Ga: 0.5000 0.0000 0.5000
Ga: 0.5000 0.5000 0.0000
Ag: 0.5000 0.5000 0.5000

- Final energy: -0.0980 Ha/atom
- DFT formation energy: 467 meV/atom
- Theoretical density: 4.6 g cm⁻³
- Offset from the most stable computed form: 0.454 eV per atom

***

Record 2
AlGaAg4 | PBE | relaxed

a = 6.9519 Å, b = 6.9519 Å, c = 5.2613 Å
α = 99.79°, β = 99.79°, γ = 116.84°
Element x y z (fractional)
Al: 0.9997 0.0003 0.2500
Al: 0.0003 0.9997 0.7500
Ga: 0.3968 0.6032 0.7500
Ga: 0.6032 0.3968 0.2500
Ag: 0.0986 0.7124 0.4560
Ag: 0.1906 0.4048 0.1260
Ag: 0.2876 0.9014 0.0440
Ag: 0.4048 0.1906 0.6260
Ag: 0.5952 0.8094 0.3740
Ag: 0.7124 0.0986 0.9560
Ag: 0.8094 0.5952 0.8740
Ag: 0.9014 0.2876 0.5440

- Final energy: -0.1109 Ha/atom
- DFT formation energy: 13 meV/atom
- Theoretical density: 8.2 g cm⁻³
- Offset from the most stable computed form: 0.037 eV per atom

***

Q: Which value of theoretical density does entry 2 give?
A: 8.2 g cm⁻³